Record 1
Computed, not measured: a geometry-optimized Li3GaRh3O8 structure at the GGA-PBE level of DFT.

Lattice parameters (Å, degrees): 6.0748 6.0740 6.0023 120.41 90.00 120.00
With the nearest neighbours (Å) after each atom.
Atoms (fractional coordinates):
Rh (0.5000, 0.5000, 0.5000)  6 O 2.07
O (0.2511, 0.0162, 0.2816)  1 Ga 2.01, 2 Rh 2.07, 2 Li 2.21
Rh (0.0000, 0.5000, 0.5000)  6 O 2.07
Li (0.0000, 0.5000, 0.0000)  6 O 2.21
Rh (0.5000, 0.0000, 0.5000)  6 O 2.07
O (0.7652, 0.5303, 0.2816)  1 Ga 2.01, 2 Rh 2.07, 2 Li 2.21
O (0.7489, 0.9838, 0.7184)  1 Ga 2.01, 2 Rh 2.07, 2 Li 2.21
O (0.7651, 0.0162, 0.2816)  1 Ga 2.01, 2 Rh 2.07, 2 Li 2.21
O (0.7417, 0.4834, 0.7250)  3 Rh 2.07, 3 Li 2.21
O (0.2348, 0.4697, 0.7184)  1 Ga 2.01, 2 Rh 2.07, 2 Li 2.21
Li (0.5000, 0.5000, 0.0000)  6 O 2.21
Ga (0.0000, 0.0000, 0.5000)  6 O 2.01
O (0.2349, 0.9838, 0.7184)  1 Ga 2.01, 2 Rh 2.07, 2 Li 2.21
Li (0.0000, 0.0000, 0.0000)  6 O 2.21
O (0.2583, 0.5165, 0.2750)  3 Rh 2.07, 3 Li 2.21

## Properties
The density of states at the Fermi level is 13.38 states/eV per cell. The uncorrected formation energy comes out at -19.1 eV/f.u.

Record 2
Computed, not measured: a geometry-optimized LaIn structure at the GGA-PBE level of DFT.

Lattice parameters (Å, degrees): 6.2767 6.2767 7.3068 72.23 72.23 41.24
With the nearest neighbours (Å) after each atom.
Atoms (fractional coordinates):
In (0.0148, 0.0148, 0.9534)  4 In 3.08-3.25, 2 La 3.38
In (0.3545, 0.3545, 0.2544)  3 In 3.22-3.25, 6 La 3.41-3.48
La (0.6920, 0.6920, 0.0837)  3 La 3.32-3.61, 7 In 3.37-3.60
In (0.3879, 0.3879, 0.7996)  3 In 3.08-3.22, 4 La 3.31-3.37
La (0.7074, 0.7074, 0.6216)  4 La 3.32-3.69, 7 In 3.47-3.59
La (0.0100, 0.0100, 0.4540)  6 In 3.31-3.67, 5 La 3.36-3.69

## Properties
The density of states at the Fermi level is 5.92 states/eV per cell. The formation energy from the elements is -0.409 eV per atom.

Record 3
Computed, not measured: a geometry-optimized Mn2Ni5Pt structure at the GGA-PBE level of DFT.

Lattice parameters (Å, degrees): 3.5973 5.1794 10.3465 90.00 90.00 90.00
With the nearest neighbours (Å) after each atom.
Atoms (fractional coordinates):
Ni (0.0000, 0.0016, 0.7523)  4 Mn 2.51-2.58, 7 Ni 2.52-2.59, 1 Pt 2.61
Ni (0.5000, 0.2426, 0.1282)  4 Mn 2.51-2.66, 6 Ni 2.52-2.58, 2 Pt 2.60
Ni (0.5000, 0.2574, 0.6282)  4 Mn 2.51-2.66, 6 Ni 2.52-2.58, 2 Pt 2.60
Ni (0.0000, 0.5016, 0.7477)  4 Mn 2.51-2.58, 7 Ni 2.52-2.59, 1 Pt 2.61
Mn (0.5000, 0.2437, 0.8707)  10 Ni 2.51-2.66, 2 Pt 2.61
Mn (0.5000, 0.7437, 0.6293)  10 Ni 2.51-2.66, 2 Pt 2.61
Ni (0.0000, 0.5000, 0.5000)  6 Ni 2.56, 4 Mn 2.57, 2 Pt 2.59
Ni (0.0000, 0.9984, 0.2477)  4 Mn 2.51-2.58, 7 Ni 2.52-2.59, 1 Pt 2.61
Ni (0.0000, 0.4984, 0.2523)  4 Mn 2.51-2.58, 7 Ni 2.52-2.59, 1 Pt 2.61
Pt (0.0000, 0.5000, 0.0000)  8 Ni 2.59-2.61, 4 Mn 2.61
Ni (0.5000, 0.7574, 0.8718)  4 Mn 2.51-2.66, 6 Ni 2.52-2.58, 2 Pt 2.60
Pt (0.0000, 0.0000, 0.5000)  8 Ni 2.59-2.61, 4 Mn 2.61
Ni (0.0000, 0.0000, 0.0000)  6 Ni 2.56, 4 Mn 2.57, 2 Pt 2.59
Mn (0.5000, 0.2563, 0.3707)  10 Ni 2.51-2.66, 2 Pt 2.61
Ni (0.5000, 0.7426, 0.3718)  4 Mn 2.51-2.66, 6 Ni 2.52-2.58, 2 Pt 2.60
Mn (0.5000, 0.7563, 0.1293)  10 Ni 2.51-2.66, 2 Pt 2.61

## Properties
The density of states at the Fermi level is 18.58 states/eV per cell. The formation energy from the elements is -0.160 eV per atom.

Record 4
Computed, not measured: a geometry-optimized GaNi3Au structure at the GGA-PBE level of DFT.

Lattice parameters (Å, degrees): 4.6857 4.6857 4.6857 90.00 90.00 90.00
With the nearest neighbours (Å) after each atom.
Atoms (fractional coordinates):
Ni (0.5000, 0.0000, 0.0000)  2 Au 2.34
Au (0.0000, 0.0000, 0.0000)  6 Ni 2.34
Ni (0.0000, 0.0000, 0.5000)  2 Au 2.34
Ga (0.5000, 0.5000, 0.5000)  12 Ni 3.31
Ni (0.0000, 0.5000, 0.0000)  2 Au 2.34

## Properties
The density of states at the Fermi level is 8.40 states/eV per cell. The energy relative to the lowest polymorph listed for this composition comes out at 489 meV/atom. The formation energy from the elements is 1.152 eV per atom.

Record 5
Computed, not measured: a geometry-optimized AcCeAg4 structure at the GGA-PBE level of DFT.

Lattice parameters (Å, degrees): 5.8791 5.8791 5.8791 60.00 60.00 60.00
With the nearest neighbours (Å) after each atom.
Atoms (fractional coordinates):
Ce (0.0000, 0.0000, 0.0000)  12 Ag 3.45, 4 Ac 3.60
Ag (0.1236, 0.6255, 0.6255)  6 Ag 2.93-2.95
Ag (0.6255, 0.6255, 0.6255)  6 Ag 2.93-2.95
Ag (0.6255, 0.1236, 0.6255)  6 Ag 2.93-2.95
Ag (0.6255, 0.6255, 0.1236)  6 Ag 2.93-2.95
Ac (0.2500, 0.2500, 0.2500)  12 Ag 3.45, 4 Ce 3.60

## Properties
The density of states at the Fermi level is 9.27 states/eV per cell. The energy relative to the lowest polymorph listed for this composition comes out at 113 meV/atom. The formation energy from the elements is -0.089 eV per atom.

Record 6
Computed, not measured: a geometry-optimized Cd2Ga2Pt structure at the GGA-PBE level of DFT.

Lattice parameters (Å, degrees): 6.6239 6.6239 4.3881 90.00 90.00 90.00
With the nearest neighbours (Å) after each atom.
Atoms (fractional coordinates):
Ga (0.3619, 0.8619, 0.0000)  2 Pt 2.57, 1 Ga 2.59, 2 Cd 2.82
Cd (0.8279, 0.3279, 0.5000)  6 Ga 2.82-3.01
Pt (0.5000, 0.5000, 0.0000)  4 Ga 2.57
Cd (0.1721, 0.6721, 0.5000)  6 Ga 2.82-3.01
Ga (0.6381, 0.1381, 0.0000)  2 Pt 2.57, 1 Ga 2.59, 2 Cd 2.82
Ga (0.1381, 0.3619, 0.0000)  2 Pt 2.57, 1 Ga 2.59, 2 Cd 2.82
Cd (0.3279, 0.1721, 0.5000)  6 Ga 2.82-3.01
Cd (0.6721, 0.8279, 0.5000)  6 Ga 2.82-3.01
Pt (0.0000, 0.0000, 0.0000)  4 Ga 2.57
Ga (0.8619, 0.6381, 0.0000)  2 Pt 2.57, 1 Ga 2.59, 2 Cd 2.82

## Properties
The density of states at the Fermi level is 3.26 states/eV per cell. The energy relative to the lowest polymorph listed for this composition comes out at 0 meV/atom. The formation energy from the elements is -0.138 eV per atom.

Record 7
Computed, not measured: a geometry-optimized Y2ZrMn structure at the GGA-PBE level of DFT.

Lattice parameters (Å, degrees): 3.5337 3.5409 8.7413 66.09 90.00 90.00
With the nearest neighbours (Å) after each atom.
Atoms (fractional coordinates):
Mn (0.5000, 0.7941, 0.7061)  4 Zr 2.76
Y (0.5000, 0.2158, 0.2843)  4 Zr 3.34, 1 Mn 3.37, 8 Y 3.53-3.67
Y (0.0000, 0.0509, 0.9486)  1 Zr 3.10, 4 Mn 3.16-3.17
Zr (0.0000, 0.4393, 0.5609)  4 Mn 2.76

## Properties
The density of states at the Fermi level is 5.01 states/eV per cell. The energy relative to the lowest polymorph listed for this composition comes out at 0 meV/atom. The formation energy from the elements is 0.106 eV per atom.

Record 8
Computed, not measured: a geometry-optimized PrTmTlBi structure at the GGA-PBE level of DFT.

Lattice parameters (Å, degrees): 5.5130 5.5130 5.5130 60.00 60.00 60.00
With the nearest neighbours (Å) after each atom.
Atoms (fractional coordinates):
Pr (0.7500, 0.7500, 0.7500)  4 Tl 3.38, 4 Bi 3.38
Tl (0.0000, 0.0000, 0.0000)  4 Pr 3.38, 4 Tm 3.38
Bi (0.5000, 0.5000, 0.5000)  4 Tm 3.38, 4 Pr 3.38
Tm (0.2500, 0.2500, 0.2500)  4 Tl 3.38, 4 Bi 3.38

## Properties
The density of states at the Fermi level is 4.15 states/eV per cell. The formation energy from the elements is -0.408 eV per atom.

Record 9
Computed, not measured: a geometry-optimized Co2TcPdAu structure at the GGA-PBE level of DFT.

Lattice parameters (Å, degrees): 4.5163 4.8788 4.5163 90.00 90.00 90.00
With the nearest neighbours (Å) after each atom.
Atoms (fractional coordinates):
Co (0.0000, 0.0000, 0.5000)  2 Pd 2.26
Au (0.5000, 0.5000, 0.5000)  4 Tc 3.19, 8 Co 3.32
Pd (0.0000, 0.0000, 0.0000)  4 Co 2.26, 2 Tc 2.44
Tc (0.0000, 0.5000, 0.0000)  2 Pd 2.44
Co (0.5000, 0.0000, 0.0000)  2 Pd 2.26

## Properties
The density of states at the Fermi level is 5.94 states/eV per cell. The formation energy from the elements is 1.549 eV per atom.

Record 10
Computed, not measured: a geometry-optimized SnHF3 structure at the GGA-PBE level of DFT.

Lattice parameters (Å, degrees): 6.9166 6.2805 7.8235 90.00 100.72 90.00
With the nearest neighbours (Å) after each atom.
Atoms (fractional coordinates):
F (0.2864, 0.6569, 0.9237)  1 H 1.30
Sn (0.4684, 0.8590, 0.7935)  3 F 2.17-2.29
F (0.3460, 0.4897, 0.1960)  1 H 1.04
Sn (0.9684, 0.6410, 0.2935)  3 F 2.17-2.29
F (0.7136, 0.3431, 0.0763)  1 H 1.30
F (0.6540, 0.5103, 0.8040)  1 H 1.04
Sn (0.0316, 0.3590, 0.7065)  3 F 2.17-2.29
H (0.3247, 0.5661, 0.0759)  1 F 1.04
F (0.8460, 0.0103, 0.6960)  1 H 1.04
H (0.8247, 0.9339, 0.5759)  1 F 1.04
F (0.1523, 0.6226, 0.5537)  2 Sn 2.19-2.29
F (0.1540, 0.9897, 0.3040)  1 H 1.04
H (0.1753, 0.0661, 0.4241)  1 F 1.04
F (0.8477, 0.3774, 0.4463)  2 Sn 2.19-2.29
F (0.6523, 0.8774, 0.0537)  2 Sn 2.19-2.29
F (0.7864, 0.8431, 0.4237)  1 H 1.30
F (0.3477, 0.1226, 0.9463)  2 Sn 2.19-2.29
Sn (0.5316, 0.1410, 0.2065)  3 F 2.17-2.29
F (0.2136, 0.1569, 0.5763)  1 H 1.30
H (0.6753, 0.4339, 0.9241)  1 F 1.04

## Properties
The density of states at the Fermi level is 0.00 states/eV per cell. The energy relative to the lowest polymorph listed for this composition comes out at 0 meV/atom.

Record 11
Computed, not measured: a geometry-optimized Al3Zn13 structure at the GGA-PBE level of DFT.

Lattice parameters (Å, degrees): 6.9882 6.9882 5.2084 90.00 90.00 90.43
With the nearest neighbours (Å) after each atom.
Atoms (fractional coordinates):
Zn (0.7480, 0.7463, 0.5000)  8 Zn 2.60-2.80, 2 Al 2.81
Zn (0.4997, 0.9970, 0.7494)  9 Zn 2.60-2.80, 1 Al 2.80
Zn (0.7482, 0.7457, 0.0000)  8 Zn 2.60-2.80, 2 Al 2.81
Zn (0.4997, 0.9970, 0.2506)  9 Zn 2.60-2.80, 1 Al 2.80
Al (0.0033, 0.9967, 0.7499)  3 Al 2.60-2.91, 7 Zn 2.80-2.88
Zn (0.2537, 0.2520, 0.5000)  8 Zn 2.60-2.80, 2 Al 2.81
Zn (0.2543, 0.2518, 0.0000)  8 Zn 2.60-2.80, 2 Al 2.81
Zn (0.2547, 0.7453, 0.5000)  8 Zn 2.60-2.77, 2 Al 2.81
Al (0.0033, 0.9967, 0.2501)  3 Al 2.60-2.91, 7 Zn 2.80-2.88
Zn (0.7439, 0.2561, 0.5000)  4 Al 2.60-2.88, 6 Zn 2.79-2.80
Zn (0.2536, 0.7464, 0.0000)  8 Zn 2.60-2.77, 2 Al 2.80
Zn (0.4955, 0.5045, 0.2505)  9 Zn 2.60-2.79, 1 Al 2.76
Zn (0.0030, 0.5003, 0.7494)  9 Zn 2.60-2.80, 1 Al 2.80
Al (0.7407, 0.2593, 0.0000)  8 Zn 2.60-2.80, 2 Al 2.91
Zn (0.0030, 0.5003, 0.2506)  9 Zn 2.60-2.80, 1 Al 2.80
Zn (0.4955, 0.5045, 0.7495)  9 Zn 2.60-2.79, 1 Al 2.76

## Properties
The density of states at the Fermi level is 4.07 states/eV per cell. The formation energy from the elements is 0.043 eV per atom.

Record 12
Computed, not measured: a geometry-optimized MgTeMo3 structure at the GGA-PBE level of DFT.

Lattice parameters (Å, degrees): 4.9088 4.9088 4.9088 90.00 90.00 90.00
With the nearest neighbours (Å) after each atom.
Atoms (fractional coordinates):
Mo (0.5000, 0.0000, 0.0000)  2 Te 2.45
Mo (0.0000, 0.0000, 0.5000)  2 Te 2.45
Mg (0.5000, 0.5000, 0.5000)  12 Mo 3.47
Te (0.0000, 0.0000, 0.0000)  6 Mo 2.45
Mo (0.0000, 0.5000, 0.0000)  2 Te 2.45

## Properties
The density of states at the Fermi level is 7.35 states/eV per cell. The uncorrected formation energy comes out at 8.2 eV/f.u. The energy relative to the lowest polymorph listed for this composition comes out at 0 meV/atom.

Short version: total magnetization = 0.80; 0.00; 9.92; 1.67; 1.60; 0.00; 2.11; 0.00; 7.57; 0.00; 0.00; 0.00 μB per formula unit, in the order given.